No. 1
Density functional theory data (GGA-PBE) for an optimized crystal structure of La2PrTm3Se6.

Structure (POSCAR):
```
La2PrTm3Se6
1.0
9.172 -2.037 0.000
9.172 2.037 0.000
-2.373 0.000 8.160
La Pr Tm Se
2 1 3 6
Direct
0.166 0.166 0.331 La
0.834 0.834 0.669 La
0.500 0.500 0.000 Pr
0.166 0.166 0.832 Tm
0.500 0.500 0.500 Tm
0.834 0.834 0.168 Tm
0.006 0.006 0.737 Se
0.328 0.328 0.932 Se
0.339 0.339 0.403 Se
0.661 0.661 0.597 Se
0.672 0.672 0.068 Se
0.994 0.994 0.263 Se
```

- Formation energy (no corrections): -1819 meV/atom

No. 2
Density functional theory data (GGA-PBE) for an optimized crystal structure of LiCu.

Structure (POSCAR):
```
LiCu
1.0
4.720 0.000 0.000
0.000 4.720 0.000
0.000 0.000 4.720
Li Cu
4 4
Direct
0.092 0.092 0.092 Li
0.408 0.908 0.592 Li
0.592 0.408 0.908 Li
0.908 0.592 0.408 Li
0.103 0.603 0.897 Cu
0.397 0.397 0.397 Cu
0.603 0.897 0.103 Cu
0.897 0.103 0.603 Cu
```

- E_form: 61 meV/atom

No. 3
Density functional theory data (GGA-PBE) for an optimized crystal structure of HoPu3Ru2.

Structure (POSCAR):
```
HoPu3Ru2
1.0
4.164 0.000 0.000
0.000 8.987 0.000
0.000 0.000 7.019
Ho Pu Ru
2 6 4
Direct
0.000 0.061 0.000 Ho
0.000 0.939 0.500 Ho
0.000 0.322 0.683 Pu
0.000 0.678 0.183 Pu
0.500 0.211 0.336 Pu
0.500 0.431 0.923 Pu
0.500 0.569 0.423 Pu
0.500 0.789 0.836 Pu
0.000 0.362 0.178 Ru
0.000 0.638 0.678 Ru
0.500 0.113 0.703 Ru
0.500 0.887 0.203 Ru
```

- E_form: -91 meV/atom

no.,electronic total energy (eV/atom)
1,-5.90
2,-2.94
3,-11.11